3
Lattice="4.304 0.000 0.000 0.000 4.304 0.000 -2.152 -2.152 5.893" Properties=species:S:1:pos:R:3 comment="Sb2I (GGA-PBE, optimized geometry)" volume_a3_per_cell=109.2 spacegroup="No. 139" formation_energy_uncorrected_ev_per_atom=0.12 pbc="T T T"
I 0.000 0.000 0.000
Sb 2.152 2.152 2.811
Sb 0.000 0.000 3.082